Ac2LaIn6 | PBE | relaxed

The structure in POSCAR format:
```
Ac2LaIn6
1.0
-0.0277 3.6000 1.5950
-5.4770 2.8111 -6.4397
-3.3464 -3.3661 7.5393
La In Ac
1 6 2
direct
0.0000 0.0000 0.0000
0.5000 0.6696 0.6696
0.5000 0.0000 0.3304
0.5000 0.6696 0.0000
0.5000 0.0000 0.6696
0.5000 0.3304 0.3304
0.5000 0.3304 0.0000
0.0000 0.6667 0.3333
0.0000 0.3333 0.6667
```

Output
Calculated formation energy, meV per atom: -456
Space group: No. 191
Total DFT energy (no corrections), eV per formula unit: -33.7